[1]
The following is a DFT calculation (GGA-PBE) of Li3Pu3InS8 after structural relaxation.

Values from the calculation:
formation energy from raw total energies = -1.324 eV/atom

The structure in CIF format:
```
data_Li3Pu3InS8
_chemical_formula_sum 'Li9 Pu9 In3 S24'
_symmetry_space_group_name_H-M 'R -3 m'
_symmetry_Int_Tables_number 166
_symmetry_space_group_name_Hall '-R 3 2"'
_cell_length_a 7.8559
_cell_length_b 7.8559
_cell_length_c 18.3317
_cell_angle_alpha 90.00
_cell_angle_beta 90.00
_cell_angle_gamma 120.00
loop_
_atom_site_label
_atom_site_type_symbol
_atom_site_fract_x
_atom_site_fract_y
_atom_site_fract_z
Li1 Li 0.0000 0.5000 0.0000
Pu1 Pu 0.0000 0.5000 0.5000
In1 In 0.0000 0.0000 0.5000
S1 S 0.0000 0.0000 0.2492
S2 S 0.0086 0.5043 0.2483
```

[2]
The following is a DFT calculation (GGA-PBE) of LiPu2InS4 after structural relaxation.

Values from the calculation:
formation energy from raw total energies = -1.331 eV/atom

The structure in CIF format:
```
data_LiPu2InS4
_chemical_formula_sum 'Li4 Pu8 In4 S16'
_symmetry_space_group_name_H-M 'C m c m'
_symmetry_Int_Tables_number 63
_symmetry_space_group_name_Hall '-C 2c 2'
_cell_length_a 4.047
_cell_length_b 13.447
_cell_length_c 14.090
_cell_angle_alpha 90.00
_cell_angle_beta 90.00
_cell_angle_gamma 90.00
loop_
_atom_site_label
_atom_site_type_symbol
_atom_site_fract_x
_atom_site_fract_y
_atom_site_fract_z
Li1 Li 0.000 0.174 0.250
Pu1 Pu 0.000 0.367 0.559
In1 In 0.000 0.095 0.750
S1 S 0.000 0.000 0.000
S2 S 0.000 0.261 0.105
S3 S 0.000 0.423 0.750
```

[3]
The following is a DFT calculation (GGA-PBE) of Li2PuInSb2 after structural relaxation.

Values from the calculation:
formation energy from raw total energies = -0.418 eV/atom

The structure in CIF format:
```
data_Li2PuInSb2
_chemical_formula_sum 'Li4 Pu2 In2 Sb4'
_symmetry_space_group_name_H-M 'P m c 21'
_symmetry_Int_Tables_number 26
_symmetry_space_group_name_Hall 'P 2c -2'
_cell_length_a 4.759
_cell_length_b 9.128
_cell_length_c 6.506
_cell_angle_alpha 90.00
_cell_angle_beta 90.00
_cell_angle_gamma 90.00
loop_
_atom_site_label
_atom_site_type_symbol
_atom_site_fract_x
_atom_site_fract_y
_atom_site_fract_z
Li1 Li 0.000 0.000 0.000
Li2 Li 0.500 0.156 0.249
Pu1 Pu 0.500 0.500 0.000
In1 In 0.000 0.328 0.750
Sb1 Sb 0.000 0.314 0.250
Sb2 Sb 0.500 0.148 0.750
```

[4]
The following is a DFT calculation (GGA-PBE) of Li3Pu3InSe8 after structural relaxation.

Values from the calculation:
formation energy from raw total energies = -1.164 eV/atom

The structure in CIF format:
```
data_Li3Pu3InSe8
_chemical_formula_sum 'Li6 Pu6 In2 Se16'
_symmetry_space_group_name_H-M 'C 1 2/m 1'
_symmetry_Int_Tables_number 12
_symmetry_space_group_name_Hall '-C 2y'
_cell_length_a 13.755
_cell_length_b 8.199
_cell_length_c 7.972
_cell_angle_alpha 90.00
_cell_angle_beta 123.41
_cell_angle_gamma 90.00
loop_
_atom_site_label
_atom_site_type_symbol
_atom_site_fract_x
_atom_site_fract_y
_atom_site_fract_z
Li1 Li 0.000 0.000 0.000
Li2 Li 0.250 0.250 0.500
Pu1 Pu 0.000 0.500 0.500
Pu2 Pu 0.250 0.250 0.000
In1 In 0.000 0.000 0.500
Se1 Se 0.002 0.242 0.255
Se2 Se 0.248 0.000 0.251
Se3 Se 0.248 0.000 0.747
```

[5]
The following is a DFT calculation (GGA-PBE) of LiPuInSn after structural relaxation.

Values from the calculation:
DFT formation energy = -0.25 eV/atom
E above lowest polymorph = 0.00 kJ per mole of atoms

The structure in CIF format:
```
data_LiPuInSn
_chemical_formula_sum 'Li4 Pu4 In4 Sn4'
_symmetry_space_group_name_H-M 'F -4 3 m'
_symmetry_Int_Tables_number 216
_symmetry_space_group_name_Hall 'F -4 2 3'
_cell_length_a 7.318
_cell_length_b 7.318
_cell_length_c 7.318
_cell_angle_alpha 90.00
_cell_angle_beta 90.00
_cell_angle_gamma 90.00
loop_
_atom_site_label
_atom_site_type_symbol
_atom_site_fract_x
_atom_site_fract_y
_atom_site_fract_z
Li1 Li 0.000 0.000 0.000
Pu1 Pu 0.000 0.000 0.500
In1 In 0.250 0.250 0.750
Sn1 Sn 0.250 0.250 0.250
```

[6]
The following is a DFT calculation (GGA-PBE) of LiPuInSn after structural relaxation.

Values from the calculation:
DFT formation energy = -0.23 eV/atom
E above lowest polymorph = 1.91 kJ per mole of atoms

The structure in CIF format:
```
data_LiPuInSn
_chemical_formula_sum 'Li1 Pu1 In1 Sn1'
_symmetry_space_group_name_H-M 'P m m m'
_symmetry_Int_Tables_number 47
_symmetry_space_group_name_Hall '-P 2 2'
_cell_length_a 3.184
_cell_length_b 5.569
_cell_length_c 5.581
_cell_angle_alpha 90.00
_cell_angle_beta 90.00
_cell_angle_gamma 90.00
loop_
_atom_site_label
_atom_site_type_symbol
_atom_site_fract_x
_atom_site_fract_y
_atom_site_fract_z
Li1 Li 0.000 0.000 0.000
Pu1 Pu 0.000 0.500 0.500
In1 In 0.500 0.500 0.000
Sn1 Sn 0.500 0.000 0.500
```

Here are the calculated density numbers, same order: 5.7 6.4 7.2 6.6 8.2 8.1 (g/cm3).